1.
# CeNpRh

Crystalline CeNpRh at its relaxed geometry (PBE-GGA, Alexandria).

Lattice parameters (Å, degrees): 4.6523 4.6523 23.6790 90.00 90.00 120.00
Element x y z (fractional)
Ce (0.0000, 0.5000, 0.3962)
Ce (0.0000, 0.5000, 0.9372)
Ce (0.5000, 0.0000, 0.2705)
Ce (0.5000, 0.0000, 0.7295)
Ce (0.5000, 0.5000, 0.0628)
Ce (0.5000, 0.5000, 0.6038)
Np (0.3196, 0.6598, 0.1667)
Np (0.3402, 0.6598, 0.8333)
Np (0.3402, 0.6804, 0.5000)
Np (0.6598, 0.3196, 0.5000)
Np (0.6598, 0.3402, 0.8333)
Np (0.6804, 0.3402, 0.1667)
Rh (0.0000, 0.0000, 0.1667)
Rh (0.0000, 0.0000, 0.5000)
Rh (0.0000, 0.0000, 0.8333)
Rh (0.0000, 0.5000, 0.6667)
Rh (0.5000, 0.0000, 0.0000)
Rh (0.5000, 0.5000, 0.3333)

- total energy (eV/atom) = -8.521
- E_form (meV per atom) = 221


2.
# PrSN

Crystalline PrSN at its relaxed geometry (PBE-GGA, Alexandria).

Lattice parameters (Å, degrees): 9.0103 4.0490 8.1710 90.00 103.20 90.00
Element x y z (fractional)
Pr (0.1594, 0.2460, 0.4155)
Pr (0.1594, 0.2540, 0.9155)
Pr (0.8406, 0.7460, 0.0845)
Pr (0.8406, 0.7540, 0.5845)
S (0.1714, 0.7494, 0.6686)
S (0.1714, 0.7506, 0.1686)
S (0.8286, 0.2494, 0.8314)
S (0.8286, 0.2506, 0.3314)
N (0.4431, 0.0687, 0.4863)
N (0.4431, 0.4313, 0.9863)
N (0.5569, 0.5687, 0.0137)
N (0.5569, 0.9313, 0.5137)

- relative energy among the computed polymorphs (meV/atom) = 0
- total energy (eV/atom) = -7.030
- ΔE_f (raw) (eV/atom) = -1.29


3.
# Ta3GaGe

Crystalline Ta3GaGe at its relaxed geometry (PBE-GGA, Alexandria).

Lattice parameters (Å, degrees): 4.7324 4.7324 4.7324 90.00 90.00 90.00
Element x y z (fractional)
Ta (0.0000, 0.0000, 0.5000)
Ta (0.0000, 0.5000, 0.0000)
Ta (0.5000, 0.0000, 0.0000)
Ga (0.5000, 0.5000, 0.5000)
Ge (0.0000, 0.0000, 0.0000)

- relative energy among the computed polymorphs (meV/atom) = 1191
- total energy (eV/atom) = -7.527
- E_form (meV per atom) = 1113